Record 1
Entry from Alexandria: a geometry-optimized U2PtSe4Cl structure (PBE).

Computed properties:
- raw total energy (eV per atom) = -6.3614
- space group = C2/m
- uncorrected formation energy (meV/atom) = -811
- Fermi-level density of states (states/eV per cell) = 12.7

a b c (Å): 3.801 6.925 8.463
angles (deg): 86.10 77.02 74.07
Each line ends with the local moment (μB).
Sites, in units of the cell vectors:
U (0.791, 0.631, 0.787)  1.80
Se (0.184, 0.922, 0.710)  -0.08
Se (0.816, 0.078, 0.290)  -0.08
Cl (0.500, 0.500, 0.500)  -0.03
U (0.209, 0.369, 0.213)  1.80
Pt (0.000, 0.000, 0.000)  -0.23
Se (0.606, 0.670, 0.119)  -0.11
Se (0.394, 0.330, 0.881)  -0.11


Record 2
Entry from Alexandria: a geometry-optimized LaTi2MnSb structure (PBE).

Computed properties:
- raw total energy (eV per atom) = -6.2319
- space group = P4/mmm
- uncorrected formation energy (meV/atom) = 570
- Fermi-level density of states (states/eV per cell) = 6.9

a b c (Å): 5.144 4.936 5.144
angles (deg): 90.00 90.00 90.00
Each line ends with the local moment (μB).
Sites, in units of the cell vectors:
Mn (0.000, 0.500, 0.000)  3.48
La (0.500, 0.500, 0.500)  -0.08
Ti (0.500, 0.000, 0.000)  0.01
Sb (0.000, 0.000, 0.000)  -0.03
Ti (0.000, 0.000, 0.500)  -0.16